# Sm3CuGe3

Crystalline Sm3CuGe3 at its relaxed geometry (PBE, Alexandria).

```
14
Lattice="5.4284 -2.1748 0.0000 5.4284 2.1748 0.0000 -4.9459 0.0000 13.2868" Properties=species:S:1:pos:R:3 pbc="T T T"
Sm -1.5302 0.0000 5.0826
Sm -3.4707 0.0000 12.2540
Sm 1.5342 0.0000 3.0152
Sm 4.3767 0.0000 10.2716
Sm 9.3815 0.0000 1.0328
Sm 7.4411 0.0000 8.2042
Cu -0.1747 0.0000 8.0136
Cu 6.0856 0.0000 5.2732
Ge 1.6620 0.0000 6.0464
Ge -0.4500 0.0000 12.2745
Ge 1.2391 0.0000 10.1763
Ge 4.6717 0.0000 3.1105
Ge 6.3609 0.0000 1.0123
Ge 4.2488 0.0000 7.2404
```

Computed properties:
As for the symmetry: C2/m (12).


# SmCu12Ge6

Crystalline SmCu12Ge6 at its relaxed geometry (PBE, Alexandria).

```
19
Lattice="5.3484 3.0879 2.9483 -5.3484 3.0879 2.9483 0.0000 -6.1758 2.9483" Properties=species:S:1:pos:R:3 pbc="T T T"
Sm 0.0000 0.0000 0.0000
Cu -2.0739 -3.5921 4.4224
Cu -4.1478 0.0000 4.4224
Cu -1.3309 -0.7684 2.6728
Cu 1.3309 -0.7684 2.6728
Cu 0.0000 1.5368 2.6728
Cu 2.0739 -3.5921 4.4224
Cu -2.0739 3.5921 4.4224
Cu 0.0000 -1.5368 6.1720
Cu -1.3309 0.7684 6.1720
Cu 1.3309 0.7684 6.1721
Cu 4.1478 0.0000 4.4224
Cu 2.0739 3.5921 4.4224
Ge 0.0000 -2.6544 3.6668
Ge -2.2988 1.3272 3.6668
Ge -2.2988 -1.3272 5.1781
Ge 2.2988 1.3272 3.6668
Ge 2.2988 -1.3272 5.1781
Ge 0.0000 2.6544 5.1781
```

Computed properties:
As for the symmetry: R-3m (166).


# Sm2CuGe3

Crystalline Sm2CuGe3 at its relaxed geometry (PBE, Alexandria).

```
6
Lattice="4.1611 0.0000 0.0000 0.0000 4.2595 0.0000 0.0000 0.0000 7.1624" Properties=species:S:1:pos:R:3 pbc="T T T"
Sm 0.0000 0.0000 0.0000
Sm 0.0000 2.1297 3.5234
Cu 2.0806 2.1297 5.8667
Ge 2.0806 0.0000 2.3841
Ge 2.0806 0.0000 4.8687
Ge 2.0806 2.1297 1.0577
```

Computed properties:
As for the symmetry: Pmm2 (25). The calculation puts the relative energy among the computed polymorphs at 28 meV/atom.


Results for V: 313.7, 292.1, 126.9 (in Å³/cell, following the order of the records).
Results for DFT formation energy: -17.53, 1.34, -15.44 (in kcal/mol of atoms, following the order of the records).